(1)
A geometry-optimized Ba2LiOsO6 structure. Source: Alexandria via LeMat-Bulk, functional GGA-PBEsol.

```
Ba2LiOsO6
1.0
-4.581 -2.993 1.607
-3.142 -2.721 -3.905
0.081 -5.696 -0.260
Ba Li Os O
2 1 1 6
direct
0.750 0.750 0.750
0.250 0.250 0.250
0.500 0.500 0.500
0.000 0.000 0.000
0.765 0.235 0.765
0.235 0.235 0.765
0.235 0.765 0.235
0.765 0.765 0.235
0.235 0.765 0.765
0.765 0.235 0.235
```

density of states at the Fermi level = 4.17 states/eV/cell
theoretical density = 7.19 g cm⁻³
uncorrected energy = -7.0536 eV per atom
SG = Fm-3m (225)

(2)
A geometry-optimized Ba3LiOs2O9 structure. Source: Alexandria via LeMat-Bulk, functional GGA-PBEsol.

```
Ba3LiOs2O9
1.0
5.794 0.000 0.000
-2.897 5.018 0.000
0.000 0.000 14.021
Ba Li Os O
6 2 4 18
direct
0.000 0.000 0.250
0.000 0.000 0.750
0.333 0.667 0.587
0.667 0.333 0.087
0.667 0.333 0.413
0.333 0.667 0.913
0.000 0.000 0.500
0.000 0.000 0.000
0.333 0.667 0.340
0.667 0.333 0.840
0.667 0.333 0.660
0.333 0.667 0.160
0.012 0.506 0.250
0.506 0.494 0.750
0.506 0.012 0.750
0.494 0.988 0.250
0.494 0.506 0.250
0.988 0.494 0.750
0.649 0.825 0.087
0.825 0.175 0.587
0.825 0.649 0.587
0.175 0.351 0.087
0.175 0.825 0.087
0.351 0.175 0.913
0.825 0.175 0.913
0.351 0.175 0.587
0.825 0.649 0.913
0.175 0.351 0.413
0.649 0.825 0.413
0.175 0.825 0.413
```

density of states at the Fermi level = 10.57 states/eV/cell
theoretical density = 7.68 g cm⁻³
uncorrected energy = -7.3113 eV per atom
SG = P6_3/mmc (194)

Formation energy without anion corrections, record by record: -2.06 -1.97 eV/atom